(1)
First-principles (PBE-GGA) data for AgHg4Br2O after structural relaxation, as listed in the Alexandria database.

Cell lengths 7.9354, 7.9354, 8.2545 Å; angles 107.31, 107.31, 101.45 degrees
Closest atoms and distances in Å follow each position.
Fractional positions:
Ag 0.0000 0.0000 0.0000  6 Hg 2.77-2.96
Ag 0.0000 0.0000 0.5000  6 Hg 2.77-2.96
Hg 0.1240 0.2689 0.8496  1 O 2.44
Hg 0.2130 0.7334 0.9930  1 O 2.27
Hg 0.2666 0.7870 0.5070  1 O 2.27
Hg 0.2689 0.1240 0.3496  1 O 2.44
Hg 0.7311 0.8760 0.6504  1 O 2.44
Hg 0.7334 0.2130 0.4930  1 O 2.27
Hg 0.7870 0.2666 0.0070  1 O 2.27
Hg 0.8760 0.7311 0.1504  1 O 2.44
Br 0.0000 0.5000 0.5000  2 Hg 2.76
Br 0.5000 0.0000 0.0000  2 Hg 2.76
Br 0.5000 0.5000 0.0000  2 Hg 2.84
Br 0.5000 0.5000 0.5000  2 Hg 2.84
O 0.0000 0.5000 0.0000  4 Hg 2.27-2.44
O 0.5000 0.0000 0.5000  4 Hg 2.27-2.44

Results
Raw total energy ... -25.46 eV for the cell shown
D(E_F) ... 2.94 states/eV per cell
Magnetization ... 0.000 μB/atom


(2)
First-principles (PBE-GGA) data for Ag2HgBrO after structural relaxation, as listed in the Alexandria database.

Cell lengths 5.4648, 5.4648, 5.3387 Å; angles 90.00, 90.00, 90.00 degrees
Closest atoms and distances in Å follow each position.
Fractional positions:
Ag 0.0000 0.5000 0.0000  2 Hg 2.73
Ag 0.5000 0.0000 0.0000  2 Hg 2.73
Hg 0.0000 0.0000 0.0000  2 Br 2.67, 4 Ag 2.73
Br 0.0000 0.0000 0.5000  2 Hg 2.67
O 0.5000 0.5000 0.5000  8 Ag 3.82, 4 Br 3.86

Results
Raw total energy ... -7.63 eV for the cell shown
D(E_F) ... 10.15 states/eV per cell
Magnetization ... 0.011 μB/atom


(3)
First-principles (PBE-GGA) data for AgHg2BrO after structural relaxation, as listed in the Alexandria database.

Cell lengths 4.4431, 4.4431, 7.1925 Å; angles 90.00, 90.00, 90.00 degrees
Closest atoms and distances in Å follow each position.
Fractional positions:
Ag 0.0000 0.0000 0.0000  4 Br 3.14
Hg 0.0000 0.5000 0.5000  2 O 2.22
Hg 0.5000 0.0000 0.5000  2 O 2.22
Br 0.5000 0.5000 0.0000  4 Ag 3.14
O 0.5000 0.5000 0.5000  4 Hg 2.22

Results
Raw total energy ... -9.43 eV for the cell shown
D(E_F) ... 1.15 states/eV per cell
Magnetization ... 0.000 μB/atom


(4)
First-principles (PBE-GGA) data for AgHg2BrO2 after structural relaxation, as listed in the Alexandria database.

Cell lengths 7.7485, 5.9388, 8.0091 Å; angles 90.00, 117.06, 90.00 degrees
Closest atoms and distances in Å follow each position.
Fractional positions:
Ag 0.0235 0.2500 0.0000  4 O 2.04-2.07
Ag 0.9765 0.7500 0.0000  4 O 2.04-2.07
Hg 0.0925 0.7500 0.6575  2 O 2.38, 1 Hg 2.64
Hg 0.2889 0.7500 0.4610  1 Br 2.58, 1 Hg 2.64, 2 O 2.67
Hg 0.7111 0.2500 0.5390  1 Br 2.58, 1 Hg 2.64, 2 O 2.67
Hg 0.9075 0.2500 0.3425  2 O 2.38, 1 Hg 2.64
Br 0.4673 0.2500 0.6759  1 Hg 2.58
Br 0.5327 0.7500 0.3241  1 Hg 2.58
O 0.0364 0.0114 0.1887  2 Ag 2.04-2.07
O 0.0364 0.4886 0.1887  2 Ag 2.04-2.07
O 0.9636 0.5114 0.8113  2 Ag 2.04-2.07
O 0.9636 0.9886 0.8113  2 Ag 2.04-2.07

Results
Raw total energy ... -31.44 eV for the cell shown
Magnetization ... 0.000 μB/atom


(5)
First-principles (PBE-GGA) data for Ag2HgBr2O after structural relaxation, as listed in the Alexandria database.

Cell lengths 7.3805, 7.3805, 6.7974 Å; angles 90.00, 90.00, 59.36 degrees
Closest atoms and distances in Å follow each position.
Fractional positions:
Ag 0.0019 0.3085 0.0000  1 O 2.43, 1 Br 2.68
Ag 0.3085 0.0019 0.5000  1 O 2.43, 1 Br 2.68
Ag 0.6915 0.9981 0.0000  1 O 2.43, 1 Br 2.68
Ag 0.9981 0.6915 0.5000  1 O 2.43, 1 Br 2.68
Hg 0.4893 0.5107 0.8142  2 O 2.08-2.09
Hg 0.5107 0.4893 0.3142  2 O 2.08-2.09
Br 0.0485 0.6416 0.0901  3 Ag 2.68-2.81
Br 0.3584 0.9515 0.0901  3 Ag 2.68-2.81
Br 0.6416 0.0485 0.5901  3 Ag 2.68-2.81
Br 0.9515 0.3584 0.5901  3 Ag 2.68-2.81
O 0.3356 0.6644 0.5574  2 Hg 2.08-2.09
O 0.6644 0.3356 0.0574  2 Hg 2.08-2.09

Results
Raw total energy ... -32.28 eV for the cell shown
Magnetization ... 0.000 μB/atom


(6)
First-principles (PBE-GGA) data for Ag2Hg7P8Br6 after structural relaxation, as listed in the Alexandria database.

Cell lengths 8.5806, 8.5806, 8.2732 Å; angles 98.79, 98.79, 80.51 degrees
Closest atoms and distances in Å follow each position.
Fractional positions:
Ag 0.0000 0.5000 0.0000  2 P 2.63, 2 Br 2.95
Ag 0.5000 0.0000 0.0000  2 P 2.63, 2 Br 2.95
Hg 0.0000 0.0000 0.5000  2 P 2.59
Hg 0.2685 0.6343 0.7348  2 P 2.44-2.46
Hg 0.2738 0.2738 0.3644  2 P 2.44-2.46
Hg 0.3657 0.7315 0.2652  2 P 2.44-2.46
Hg 0.6343 0.2685 0.7348  2 P 2.44-2.46
Hg 0.7262 0.7262 0.6356  2 P 2.44-2.46
Hg 0.7315 0.3657 0.2652  2 P 2.44-2.46
P 0.0762 0.7624 0.9240  2 P 2.22-2.23, 1 Hg 2.46
P 0.0862 0.0862 0.2444  2 P 2.22, 1 Hg 2.46
P 0.2376 0.9238 0.0760  2 P 2.22-2.23, 1 Hg 2.46
P 0.4372 0.4372 0.5671  1 P 2.16
P 0.5628 0.5628 0.4329  1 P 2.16
P 0.7624 0.0762 0.9240  2 P 2.22-2.23, 1 Hg 2.46
P 0.9138 0.9138 0.7556  2 P 2.22, 1 Hg 2.46
P 0.9238 0.2376 0.0760  2 P 2.22-2.23, 1 Hg 2.46
Br 0.0503 0.6371 0.3495  1 Ag 2.95, 2 Hg 3.15-3.16
Br 0.3537 0.3537 0.0432  1 Hg 3.05, 2 Ag 3.08
Br 0.3629 0.9498 0.6505  1 Ag 2.95, 2 Hg 3.15-3.16
Br 0.6371 0.0503 0.3495  1 Ag 2.95, 2 Hg 3.15-3.16
Br 0.6463 0.6463 0.9568  1 Hg 3.05, 2 Ag 3.08
Br 0.9498 0.3629 0.6505  1 Ag 2.95, 2 Hg 3.15-3.16

Results
Raw total energy ... -65.96 eV for the cell shown
Magnetization ... 0.000 μB/atom


(7)
First-principles (PBE-GGA) data for PaAgHgBr6 after structural relaxation, as listed in the Alexandria database.

Cell lengths 7.0305, 7.0305, 18.8099 Å; angles 90.00, 90.00, 120.00 degrees
Closest atoms and distances in Å follow each position.
Fractional positions:
Pa 0.3333 0.6667 0.2500  6 Br 2.73
Pa 0.6667 0.3333 0.7500  6 Br 2.73
Ag 0.3333 0.6667 0.7500  6 Br 2.90
Ag 0.6667 0.3333 0.2500  6 Br 2.90
Hg 0.0000 0.0000 0.0000  6 Br 3.92
Hg 0.0000 0.0000 0.5000  6 Br 3.92
Br 0.0193 0.3539 0.1639  1 Pa 2.73, 1 Ag 2.90
Br 0.0193 0.6654 0.3361  1 Pa 2.73, 1 Ag 2.90
Br 0.3346 0.3539 0.3361  1 Pa 2.73, 1 Ag 2.90
Br 0.3346 0.9807 0.1639  1 Pa 2.73, 1 Ag 2.90
Br 0.3539 0.0193 0.6639  1 Pa 2.73, 1 Ag 2.90
Br 0.3539 0.3346 0.8361  1 Pa 2.73, 1 Ag 2.90
Br 0.6461 0.6654 0.1639  1 Pa 2.73, 1 Ag 2.90
Br 0.6461 0.9807 0.3361  1 Pa 2.73, 1 Ag 2.90
Br 0.6654 0.0193 0.8361  1 Pa 2.73, 1 Ag 2.90
Br 0.6654 0.6461 0.6639  1 Pa 2.73, 1 Ag 2.90
Br 0.9807 0.3346 0.6639  1 Pa 2.73, 1 Ag 2.90
Br 0.9807 0.6461 0.8361  1 Pa 2.73, 1 Ag 2.90

Results
Raw total energy ... -63.72 eV for the cell shown
Magnetization ... 0.000 μB/atom


(8)
First-principles (PBE-GGA) data for PaAgHg2Br6 after structural relaxation, as listed in the Alexandria database.

Cell lengths 8.2664, 8.2664, 6.9546 Å; angles 90.00, 90.00, 120.00 degrees
Closest atoms and distances in Å follow each position.
Fractional positions:
Pa 0.0000 0.0000 0.0000  6 Br 2.73
Ag 0.0000 0.0000 0.5000  6 Br 2.90
Hg 0.3333 0.6667 0.2849  12 Br 4.15-4.40
Hg 0.6667 0.3333 0.7151  12 Br 4.15-4.40
Br 0.1547 0.3095 0.7700  1 Pa 2.73, 1 Ag 2.90
Br 0.1547 0.8453 0.7700  1 Pa 2.73, 1 Ag 2.90
Br 0.3095 0.1547 0.2300  1 Pa 2.73, 1 Ag 2.90
Br 0.6905 0.8453 0.7700  1 Pa 2.73, 1 Ag 2.90
Br 0.8453 0.1547 0.2300  1 Pa 2.73, 1 Ag 2.90
Br 0.8453 0.6905 0.2300  1 Pa 2.73, 1 Ag 2.90

Results
Raw total energy ... -32.08 eV for the cell shown
Magnetization ... 0.000 μB/atom


(9)
First-principles (PBE-GGA) data for Ag2HgPbBr6 after structural relaxation, as listed in the Alexandria database.

Cell lengths 7.3270, 7.3392, 7.8755 Å; angles 90.07, 117.57, 119.85 degrees
Closest atoms and distances in Å follow each position.
Fractional positions:
Ag 0.0000 0.0000 0.0000  6 Br 2.85-3.00
Ag 0.0039 0.5035 0.5072  6 Br 2.82-3.02
Hg 0.3996 0.2001 0.5982  6 Br 2.81-2.97
Pb 0.3971 0.6988 0.0958  6 Br 3.00-3.12
Br 0.1835 0.3938 0.3035  2 Ag 2.82-3.00, 1 Hg 2.96, 1 Pb 3.00
Br 0.1904 0.2741 0.7894  1 Hg 2.81, 2 Ag 2.85-3.02, 1 Pb 3.12
Br 0.5127 0.1197 0.3036  2 Ag 2.83-3.00, 1 Hg 2.95, 1 Pb 3.01
Br 0.5156 0.9167 0.7885  1 Hg 2.81, 2 Ag 2.85-3.02, 1 Pb 3.12
Br 0.8730 0.5998 0.7877  1 Hg 2.82, 2 Ag 2.85-2.99, 1 Pb 3.12
Br 0.9092 0.7918 0.3026  2 Ag 2.83-2.99, 1 Hg 2.97, 1 Pb 3.00

Results
Raw total energy ... -24.78 eV for the cell shown
Magnetization ... 0.000 μB/atom


The records above yield ρ values of 8.02; 5.33; 7.07; 6.28; 6.17; 6.62; 4.20; 4.92; 5.90 g/cm3, respectively.
The records above yield energy relative to the elements, uncorrected values of -0.05; 1.00; 0.13; -0.11; -0.31; -0.21; -1.02; -0.91; -0.50 eV/atom, respectively.